1.
! TcHgRu2Se GGA-PBE optimized geometry; values from VASP
! Magnetization   0.505 μB per atom
! Raw formation energy   950.8 meV/atom
&SYSTEM
  ibrav = 0, nat = 5, ntyp = 4
/
ATOMIC_SPECIES
Tc 98.00 Tc.upf
Hg 200.59 Hg.upf
Ru 101.07 Ru.upf
Se 78.96 Se.upf
ATOMIC_POSITIONS crystal
Tc 0.000 0.000 0.000
Hg 0.500 0.500 0.000
Ru 0.000 0.500 0.500
Ru 0.500 0.000 0.500
Se 0.000 0.000 0.500
CELL_PARAMETERS angstrom
4.555 0.000 0.000
0.000 4.555 0.000
0.000 0.000 4.579

2.
! Th4HgRuSe2 GGA-PBE optimized geometry; values from VASP
! Magnetization   0.000 μB per atom
! Raw formation energy   -888.2 meV/atom
&SYSTEM
  ibrav = 0, nat = 8, ntyp = 4
/
ATOMIC_SPECIES
Th 232.04 Th.upf
Hg 200.59 Hg.upf
Ru 101.07 Ru.upf
Se 78.96 Se.upf
ATOMIC_POSITIONS crystal
Th 0.222 0.000 0.257
Th 0.225 0.500 0.727
Th 0.775 0.500 0.273
Th 0.778 0.000 0.743
Hg 0.500 0.500 0.500
Ru 0.000 0.000 0.500
Se 0.000 0.500 0.000
Se 0.500 0.000 0.000
CELL_PARAMETERS angstrom
7.419 0.000 0.000
0.000 4.182 0.000
-2.348 0.000 7.245

3.
! Th6HgRu2Se3 GGA-PBE optimized geometry; values from VASP
! Magnetization   0.000 μB per atom
! Raw formation energy   -958.5 meV/atom
&SYSTEM
  ibrav = 0, nat = 12, ntyp = 4
/
ATOMIC_SPECIES
Th 232.04 Th.upf
Hg 200.59 Hg.upf
Ru 101.07 Ru.upf
Se 78.96 Se.upf
ATOMIC_POSITIONS crystal
Th 0.013 0.013 0.268
Th 0.324 0.324 0.432
Th 0.329 0.329 0.884
Th 0.671 0.671 0.116
Th 0.676 0.676 0.568
Th 0.987 0.987 0.732
Hg 0.500 0.500 0.000
Ru 0.169 0.169 0.337
Ru 0.831 0.831 0.663
Se 0.161 0.161 0.838
Se 0.500 0.500 0.500
Se 0.839 0.839 0.162
CELL_PARAMETERS angstrom
9.414 -2.079 0.000
9.414 2.079 0.000
-2.523 0.000 8.477

4.
! Y2HgRuSe GGA-PBE optimized geometry; values from VASP
! Magnetization   0.356 μB per atom
! Raw formation energy   528.7 meV/atom
&SYSTEM
  ibrav = 0, nat = 5, ntyp = 4
/
ATOMIC_SPECIES
Y 88.91 Y.upf
Hg 200.59 Hg.upf
Ru 101.07 Ru.upf
Se 78.96 Se.upf
ATOMIC_POSITIONS crystal
Y 0.000 0.500 0.000
Y 0.500 0.000 0.000
Hg 0.000 0.000 0.000
Ru 0.000 0.000 0.500
Se 0.500 0.500 0.500
CELL_PARAMETERS angstrom
5.575 0.000 0.000
0.000 5.575 0.000
0.000 0.000 4.937

5.
! SiHgRu2 GGA-PBE optimized geometry; values from VASP
! Magnetization   0.000 μB per atom
! Raw formation energy   119.1 meV/atom
&SYSTEM
  ibrav = 0, nat = 4, ntyp = 3
/
ATOMIC_SPECIES
Si 28.09 Si.upf
Hg 200.59 Hg.upf
Ru 101.07 Ru.upf
ATOMIC_POSITIONS crystal
Si 0.000 0.000 0.000
Hg 0.000 0.000 0.500
Ru 0.500 0.500 0.211
Ru 0.500 0.500 0.789
CELL_PARAMETERS angstrom
1.490 -2.452 0.000
1.490 2.452 0.000
0.000 0.000 8.578

6.
! SiHgRu2 GGA-PBE optimized geometry; values from VASP
! Magnetization   0.000 μB per atom
! Raw formation energy   262.8 meV/atom
&SYSTEM
  ibrav = 0, nat = 4, ntyp = 3
/
ATOMIC_SPECIES
Si 28.09 Si.upf
Hg 200.59 Hg.upf
Ru 101.07 Ru.upf
ATOMIC_POSITIONS crystal
Si 0.000 0.000 0.000
Hg 0.500 0.500 0.000
Ru 0.000 0.500 0.500
Ru 0.500 0.000 0.500
CELL_PARAMETERS angstrom
4.415 0.000 0.000
0.000 4.415 0.000
0.000 0.000 3.093

7.
! SiHgRu2 GGA-PBE optimized geometry; values from VASP
! Magnetization   0.000 μB per atom
! Raw formation energy   243.2 meV/atom
&SYSTEM
  ibrav = 0, nat = 4, ntyp = 3
/
ATOMIC_SPECIES
Si 28.09 Si.upf
Hg 200.59 Hg.upf
Ru 101.07 Ru.upf
ATOMIC_POSITIONS crystal
Si 0.000 0.000 0.000
Hg 0.500 0.500 0.500
Ru 0.250 0.250 0.250
Ru 0.750 0.750 0.750
CELL_PARAMETERS angstrom
0.000 3.113 3.113
3.113 0.000 3.113
3.113 3.113 0.000

8.
! SiHgRu2 GGA-PBE optimized geometry; values from VASP
! Magnetization   0.000 μB per atom
! Raw formation energy   599.1 meV/atom
&SYSTEM
  ibrav = 0, nat = 4, ntyp = 3
/
ATOMIC_SPECIES
Si 28.09 Si.upf
Hg 200.59 Hg.upf
Ru 101.07 Ru.upf
ATOMIC_POSITIONS crystal
Si 0.000 0.000 0.000
Hg 0.750 0.750 0.750
Ru 0.250 0.250 0.250
Ru 0.500 0.500 0.500
CELL_PARAMETERS angstrom
0.000 3.146 3.146
3.146 0.000 3.146
3.146 3.146 0.000

9.
! Si2HgRu2 GGA-PBE optimized geometry; values from VASP
! Magnetization   0.000 μB per atom
! Raw formation energy   -172.1 meV/atom
&SYSTEM
  ibrav = 0, nat = 10, ntyp = 3
/
ATOMIC_SPECIES
Si 28.09 Si.upf
Hg 200.59 Hg.upf
Ru 101.07 Ru.upf
ATOMIC_POSITIONS crystal
Si 0.138 0.362 0.000
Si 0.362 0.862 0.000
Si 0.638 0.138 0.000
Si 0.862 0.638 0.000
Hg 0.000 0.000 0.000
Hg 0.500 0.500 0.000
Ru 0.151 0.651 0.500
Ru 0.349 0.151 0.500
Ru 0.651 0.849 0.500
Ru 0.849 0.349 0.500
CELL_PARAMETERS angstrom
7.153 0.000 0.000
0.000 7.153 0.000
0.000 0.000 2.857

10.
! SiHgRu2 GGA-PBE optimized geometry; values from VASP
! Magnetization   0.000 μB per atom
! Raw formation energy   26.7 meV/atom
&SYSTEM
  ibrav = 0, nat = 4, ntyp = 3
/
ATOMIC_SPECIES
Si 28.09 Si.upf
Hg 200.59 Hg.upf
Ru 101.07 Ru.upf
ATOMIC_POSITIONS crystal
Si 0.000 0.000 0.000
Hg 0.500 0.500 0.500
Ru 0.263 0.263 0.263
Ru 0.737 0.737 0.737
CELL_PARAMETERS angstrom
1.451 0.838 8.441
-1.451 0.838 8.441
0.000 -1.675 8.441

11.
! SiHgRu2 GGA-PBE optimized geometry; values from VASP
! Magnetization   0.263 μB per atom
! Raw formation energy   618.7 meV/atom
&SYSTEM
  ibrav = 0, nat = 8, ntyp = 3
/
ATOMIC_SPECIES
Si 28.09 Si.upf
Hg 200.59 Hg.upf
Ru 101.07 Ru.upf
ATOMIC_POSITIONS crystal
Si 0.000 0.000 0.000
Si 0.750 0.250 0.500
Hg 0.250 0.750 0.500
Hg 0.500 0.500 0.000
Ru 0.035 0.625 0.910
Ru 0.375 0.285 0.410
Ru 0.715 0.125 0.090
Ru 0.875 0.965 0.590
CELL_PARAMETERS angstrom
-2.043 2.043 8.732
2.043 -2.043 8.732
2.043 2.043 -8.732

12.
! SiHgRu GGA-PBE optimized geometry; values from VASP
! Magnetization   0.000 μB per atom
! Raw formation energy   170.9 meV/atom
&SYSTEM
  ibrav = 0, nat = 3, ntyp = 3
/
ATOMIC_SPECIES
Si 28.09 Si.upf
Hg 200.59 Hg.upf
Ru 101.07 Ru.upf
ATOMIC_POSITIONS crystal
Si 0.000 0.000 0.000
Hg 0.667 0.333 0.385
Ru 0.333 0.667 0.754
CELL_PARAMETERS angstrom
3.022 0.000 0.000
-1.511 2.617 0.000
0.000 0.000 6.520

13.
! SiHgRu2 GGA-PBE optimized geometry; values from VASP
! Magnetization   0.000 μB per atom
! Raw formation energy   54.4 meV/atom
&SYSTEM
  ibrav = 0, nat = 4, ntyp = 3
/
ATOMIC_SPECIES
Si 28.09 Si.upf
Hg 200.59 Hg.upf
Ru 101.07 Ru.upf
ATOMIC_POSITIONS crystal
Si 0.000 0.000 0.000
Hg 0.500 0.500 0.500
Ru 0.263 0.263 0.815
Ru 0.737 0.737 0.185
CELL_PARAMETERS angstrom
3.723 -1.487 0.000
3.723 1.487 0.000
-1.200 0.000 5.910

14.
! SiHgRu2 GGA-PBE optimized geometry; values from VASP
! Magnetization   0.000 μB per atom
! Raw formation energy   476.7 meV/atom
&SYSTEM
  ibrav = 0, nat = 4, ntyp = 3
/
ATOMIC_SPECIES
Si 28.09 Si.upf
Hg 200.59 Hg.upf
Ru 101.07 Ru.upf
ATOMIC_POSITIONS crystal
Si 0.000 0.000 0.000
Hg 0.500 0.500 0.000
Ru 0.000 0.500 0.500
Ru 0.500 0.000 0.500
CELL_PARAMETERS angstrom
2.867 -4.312 0.000
2.867 4.312 0.000
-1.345 0.000 2.557

15.
! SiHgRu2 GGA-PBE optimized geometry; values from VASP
! Magnetization   0.000 μB per atom
! Raw formation energy   249.5 meV/atom
&SYSTEM
  ibrav = 0, nat = 4, ntyp = 3
/
ATOMIC_SPECIES
Si 28.09 Si.upf
Hg 200.59 Hg.upf
Ru 101.07 Ru.upf
ATOMIC_POSITIONS crystal
Si 0.000 0.000 0.000
Hg 0.500 0.500 0.323
Ru 0.000 0.000 0.591
Ru 0.500 0.500 0.801
CELL_PARAMETERS angstrom
2.839 0.000 0.000
0.000 2.839 0.000
0.000 0.000 8.125

16.
! SiHgRu2 GGA-PBE optimized geometry; values from VASP
! Magnetization   0.000 μB per atom
! Raw formation energy   505.7 meV/atom
&SYSTEM
  ibrav = 0, nat = 4, ntyp = 3
/
ATOMIC_SPECIES
Si 28.09 Si.upf
Hg 200.59 Hg.upf
Ru 101.07 Ru.upf
ATOMIC_POSITIONS crystal
Si 0.000 0.000 0.000
Hg 0.500 0.000 0.500
Ru 0.000 0.500 0.500
Ru 0.500 0.500 0.000
CELL_PARAMETERS angstrom
2.918 0.000 0.000
0.000 4.384 0.000
0.000 0.000 4.934

17.
! SiHgRu2 GGA-PBE optimized geometry; values from VASP
! Magnetization   0.000 μB per atom
! Raw formation energy   243.9 meV/atom
&SYSTEM
  ibrav = 0, nat = 4, ntyp = 3
/
ATOMIC_SPECIES
Si 28.09 Si.upf
Hg 200.59 Hg.upf
Ru 101.07 Ru.upf
ATOMIC_POSITIONS crystal
Si 0.000 0.000 0.000
Hg 0.500 0.500 0.353
Ru 0.000 0.000 0.626
Ru 0.500 0.500 0.880
CELL_PARAMETERS angstrom
2.819 0.000 0.000
0.000 3.646 0.000
0.000 0.000 6.381

18.
! SiHgRu2 GGA-PBE optimized geometry; values from VASP
! Magnetization   0.000 μB per atom
! Raw formation energy   26.6 meV/atom
&SYSTEM
  ibrav = 0, nat = 4, ntyp = 3
/
ATOMIC_SPECIES
Si 28.09 Si.upf
Hg 200.59 Hg.upf
Ru 101.07 Ru.upf
ATOMIC_POSITIONS crystal
Si 0.000 0.000 0.000
Hg 0.000 0.000 0.500
Ru 0.356 0.500 0.207
Ru 0.644 0.500 0.793
CELL_PARAMETERS angstrom
2.932 0.000 0.000
0.000 3.747 0.000
-1.222 0.000 5.671

19.
! SiHgRu GGA-PBE optimized geometry; values from VASP
! Magnetization   0.000 μB per atom
! Raw formation energy   25.1 meV/atom
&SYSTEM
  ibrav = 0, nat = 3, ntyp = 3
/
ATOMIC_SPECIES
Si 28.09 Si.upf
Hg 200.59 Hg.upf
Ru 101.07 Ru.upf
ATOMIC_POSITIONS crystal
Si 0.000 0.000 0.000
Hg 0.702 0.702 0.000
Ru 0.404 0.404 0.000
CELL_PARAMETERS angstrom
-1.560 1.560 5.095
1.560 -1.560 5.095
1.560 1.560 -5.095

20.
! SiHgRu3 GGA-PBE optimized geometry; values from VASP
! Magnetization   0.462 μB per atom
! Raw formation energy   650.5 meV/atom
&SYSTEM
  ibrav = 0, nat = 5, ntyp = 3
/
ATOMIC_SPECIES
Si 28.09 Si.upf
Hg 200.59 Hg.upf
Ru 101.07 Ru.upf
ATOMIC_POSITIONS crystal
Si 0.000 0.000 0.000
Hg 0.500 0.500 0.500
Ru 0.000 0.000 0.500
Ru 0.000 0.500 0.000
Ru 0.500 0.000 0.000
CELL_PARAMETERS angstrom
4.432 0.000 0.000
0.000 4.432 0.000
0.000 0.000 4.432

21.
! SiHgRu GGA-PBE optimized geometry; values from VASP
! Magnetization   0.000 μB per atom
! Raw formation energy   77.2 meV/atom
&SYSTEM
  ibrav = 0, nat = 3, ntyp = 3
/
ATOMIC_SPECIES
Si 28.09 Si.upf
Hg 200.59 Hg.upf
Ru 101.07 Ru.upf
ATOMIC_POSITIONS crystal
Si 0.000 0.000 0.000
Hg 0.667 0.333 0.500
Ru 0.333 0.667 0.000
CELL_PARAMETERS angstrom
4.034 0.000 0.000
-2.017 3.493 0.000
0.000 0.000 3.641

22.
! SiHg3Ru GGA-PBE optimized geometry; values from VASP
! Magnetization   0.501 μB per atom
! Raw formation energy   1135.1 meV/atom
&SYSTEM
  ibrav = 0, nat = 5, ntyp = 3
/
ATOMIC_SPECIES
Si 28.09 Si.upf
Hg 200.59 Hg.upf
Ru 101.07 Ru.upf
ATOMIC_POSITIONS crystal
Si 0.000 0.000 0.000
Hg 0.000 0.000 0.500
Hg 0.000 0.500 0.000
Hg 0.500 0.000 0.000
Ru 0.500 0.500 0.500
CELL_PARAMETERS angstrom
4.993 0.000 0.000
0.000 4.993 0.000
0.000 0.000 4.993

23.
! SiHgRu2 GGA-PBE optimized geometry; values from VASP
! Magnetization   0.149 μB per atom
! Raw formation energy   289.7 meV/atom
&SYSTEM
  ibrav = 0, nat = 4, ntyp = 3
/
ATOMIC_SPECIES
Si 28.09 Si.upf
Hg 200.59 Hg.upf
Ru 101.07 Ru.upf
ATOMIC_POSITIONS crystal
Si 0.000 0.000 0.000
Hg 0.650 0.500 0.297
Ru 0.306 0.000 0.610
Ru 0.908 0.500 0.815
CELL_PARAMETERS angstrom
2.914 0.000 0.000
0.000 4.292 0.000
-1.449 0.000 5.148

24.
! SiHgRu4 GGA-PBE optimized geometry; values from VASP
! Magnetization   0.497 μB per atom
! Raw formation energy   739.5 meV/atom
&SYSTEM
  ibrav = 0, nat = 6, ntyp = 3
/
ATOMIC_SPECIES
Si 28.09 Si.upf
Hg 200.59 Hg.upf
Ru 101.07 Ru.upf
ATOMIC_POSITIONS crystal
Si 0.000 0.000 0.000
Hg 0.750 0.750 0.750
Ru 0.375 0.375 0.375
Ru 0.375 0.375 0.876
Ru 0.375 0.876 0.375
Ru 0.876 0.375 0.375
CELL_PARAMETERS angstrom
0.000 3.654 3.654
3.654 0.000 3.654
3.654 3.654 0.000

25.
! SiHgRu3 GGA-PBE optimized geometry; values from VASP
! Magnetization   1.293 μB per atom
! Raw formation energy   2484.1 meV/atom
&SYSTEM
  ibrav = 0, nat = 5, ntyp = 3
/
ATOMIC_SPECIES
Si 28.09 Si.upf
Hg 200.59 Hg.upf
Ru 101.07 Ru.upf
ATOMIC_POSITIONS crystal
Si 0.000 0.000 0.000
Hg 0.500 0.500 0.500
Ru 0.000 0.500 0.500
Ru 0.500 0.000 0.500
Ru 0.500 0.500 0.000
CELL_PARAMETERS angstrom
4.961 0.000 0.000
0.000 4.961 0.000
0.000 0.000 4.961

26.
! SiHgRu GGA-PBE optimized geometry; values from VASP
! Magnetization   0.000 μB per atom
! Raw formation energy   272.6 meV/atom
&SYSTEM
  ibrav = 0, nat = 3, ntyp = 3
/
ATOMIC_SPECIES
Si 28.09 Si.upf
Hg 200.59 Hg.upf
Ru 101.07 Ru.upf
ATOMIC_POSITIONS crystal
Si 0.000 0.000 0.000
Hg 0.250 0.250 0.250
Ru 0.750 0.750 0.750
CELL_PARAMETERS angstrom
0.000 2.957 2.957
2.957 0.000 2.957
2.957 2.957 0.000

27.
! SiHgRu2 GGA-PBE optimized geometry; values from VASP
! Magnetization   0.000 μB per atom
! Raw formation energy   62.4 meV/atom
&SYSTEM
  ibrav = 0, nat = 4, ntyp = 3
/
ATOMIC_SPECIES
Si 28.09 Si.upf
Hg 200.59 Hg.upf
Ru 101.07 Ru.upf
ATOMIC_POSITIONS crystal
Si 0.000 0.000 0.000
Hg 0.215 0.215 0.503
Ru 0.368 0.368 0.185
Ru 0.632 0.632 0.817
CELL_PARAMETERS angstrom
3.661 -1.495 0.000
3.661 1.495 0.000
-2.984 0.000 6.014

28.
! SiHgRu2 GGA-PBE optimized geometry; values from VASP
! Magnetization   0.000 μB per atom
! Raw formation energy   164.6 meV/atom
&SYSTEM
  ibrav = 0, nat = 4, ntyp = 3
/
ATOMIC_SPECIES
Si 28.09 Si.upf
Hg 200.59 Hg.upf
Ru 101.07 Ru.upf
ATOMIC_POSITIONS crystal
Si 0.000 0.000 0.000
Hg 0.500 0.500 0.000
Ru 0.213 0.713 0.500
Ru 0.787 0.287 0.500
CELL_PARAMETERS angstrom
-1.484 2.382 4.368
1.484 -2.382 4.368
1.484 2.382 -4.368

29.
! SiHgRu2 GGA-PBE optimized geometry; values from VASP
! Magnetization   0.023 μB per atom
! Raw formation energy   471.3 meV/atom
&SYSTEM
  ibrav = 0, nat = 4, ntyp = 3
/
ATOMIC_SPECIES
Si 28.09 Si.upf
Hg 200.59 Hg.upf
Ru 101.07 Ru.upf
ATOMIC_POSITIONS crystal
Si 0.000 0.000 0.000
Hg 0.250 0.750 0.500
Ru 0.500 0.500 0.000
Ru 0.750 0.250 0.500
CELL_PARAMETERS angstrom
-1.941 1.941 4.066
1.941 -1.941 4.066
1.941 1.941 -4.066